1.
A relaxed CaY2PtO crystal, computed with PBE.

The total energy is -0.390 Ry/atom. As for the formation energy without anion corrections: -0.60 eV/f.u.

It has space group P4/mmm (No. 123), with a = 5.761 Å, b = 5.761 Å, c = 4.035 Å, α = 90.00°, β = 90.00° and γ = 90.00°. The distinct sites, in fractional coordinates, are Ca at (0.000, 0.000, 0.000), Y at (0.000, 0.500, 0.500), Pt at (0.500, 0.500, 0.500) and O at (0.500, 0.500, 0.000).

---

2.
A relaxed CaY2PtO5 crystal, computed with PBE.

The total energy is -0.563 Ry/atom. As for the formation energy without anion corrections: -23.22 eV/f.u.

It has space group P4/mbm (No. 127), with a = 6.494 Å, b = 6.494 Å, c = 5.860 Å, α = 90.00°, β = 90.00° and γ = 90.00°. The distinct sites, in fractional coordinates, are Ca at (0.000, 0.000, 0.000), Y at (0.174, 0.326, 0.500), Pt at (0.000, 0.500, 0.000), O at (0.000, 0.000, 0.500) and O at (0.145, 0.645, 0.256).

---

3.
A relaxed CaYPtO4 crystal, computed with PBE.

The total energy is -0.516 Ry/atom. As for the formation energy without anion corrections: -14.80 eV/f.u.

It has space group Imma (No. 74), with a = 6.558 Å, b = 6.913 Å, c = 9.309 Å, α = 90.00°, β = 90.00° and γ = 90.00°. The distinct sites, in fractional coordinates, are Ca at (0.000, 0.250, 0.145), Y at (0.000, 0.000, 0.500), Pt at (0.250, 0.250, 0.750), O at (0.000, 0.060, 0.748) and O at (0.218, 0.250, 0.476).

---

4.
A relaxed CaZnPtO4 crystal, computed with PBE.

The total energy is -0.388 Ry/atom. As for the formation energy without anion corrections: -7.83 eV/f.u.

It has space group Cmcm (No. 63), with a = 5.940 Å, b = 9.072 Å, c = 7.226 Å, α = 90.00°, β = 90.00° and γ = 90.00°. The distinct sites, in fractional coordinates, are Ca at (0.000, 0.000, 0.000), Zn at (0.000, 0.365, 0.250), Pt at (0.000, 0.309, 0.750), O at (0.000, 0.265, 0.010) and O at (0.241, 0.482, 0.750).

---

5.
A relaxed Ca2PuO8 crystal, computed with PBE.

The total energy is -0.536 Ry/atom. As for the formation energy without anion corrections: -22.20 eV/f.u.

It has space group C2/m (No. 12), with a = 11.107 Å, b = 6.386 Å, c = 5.994 Å, α = 90.00°, β = 119.52° and γ = 90.00°. The distinct sites, in fractional coordinates, are Ca at (0.241, 0.000, 0.140), Pu at (0.000, 0.000, 0.500), O at (0.062, 0.500, 0.078), O at (0.121, 0.209, 0.766) and O at (0.122, 0.000, 0.360).

---

6.
A relaxed Ca2Pu2O7 crystal, computed with PBE.

The total energy is -0.663 Ry/atom. As for the formation energy without anion corrections: -31.90 eV/f.u.

It has space group Fd-3m (No. 227, origin choice 2), with a = 10.973 Å, b = 10.973 Å, c = 10.973 Å, α = 90.00°, β = 90.00° and γ = 90.00°. The distinct sites, in fractional coordinates, are Ca at (0.000, 0.000, 0.000), Pu at (0.000, 0.000, 0.500), O at (0.077, 0.375, 0.875) and O at (0.125, 0.125, 0.125).

---

7.
A relaxed Ca2PuO crystal, computed with PBE.

The total energy is -0.512 Ry/atom. As for the formation energy without anion corrections: -4.56 eV/f.u.

It has space group R-3m (No. 166, hexagonal axes), with a = 3.4181 Å, b = 3.4181 Å, c = 28.7111 Å, α = 90.00°, β = 90.00° and γ = 120.00°. The distinct sites, in fractional coordinates, are Ca at (0.0000, 0.0000, 0.1172), Pu at (0.0000, 0.0000, 0.0000) and O at (0.0000, 0.0000, 0.5000).

---

8.
A relaxed CaPuO3 crystal, computed with PBE.

The total energy is -0.663 Ry/atom. As for the formation energy without anion corrections: -13.88 eV/f.u.

It has space group P-6m2 (No. 187), with a = 6.0296 Å, b = 6.0296 Å, c = 3.0971 Å, α = 90.00°, β = 90.00° and γ = 120.00°. The distinct sites, in fractional coordinates, are Ca at (0.0000, 0.0000, 0.0000), Pu at (0.6667, 0.3333, 0.0000) and O at (0.3506, 0.1753, 0.5000).

---

- Which formula does entry 5 have?
  Ca2PuO8

---

- Which formula does entry 4 have?
  CaZnPtO4

---

- What is the formula in the second record?
  CaY2PtO5